The following is a DFT calculation (GGA-PBE) of a relaxed structure of KBeMo4.

Values from the calculation:
Spin magnetization ... 0.00 μB/f.u.
Theoretical density ... 6.515 g cm⁻³
Space-group type ... F-43m (216)
Energy of formation ... 1.2312 eV per atom
E ... -40.761 eV/cell

Lattice parameters (Å, degrees): 5.379 5.379 5.379 60.00 60.00 60.00
Atoms (fractional coordinates):
1 Mo 0.375 0.375 0.375
2 Mo 0.875 0.375 0.375
3 Mo 0.375 0.375 0.875
4 Mo 0.375 0.875 0.375
5 Be 0.750 0.750 0.750
6 K 0.000 0.000 0.000


The following is a DFT calculation (GGA-PBE) of a relaxed structure of PmCuNi4.

Values from the calculation:
Spin magnetization ... 0.00 μB/f.u.
Excess energy over the best structure of this formula in the dataset ... 154 meV per atom
Theoretical density ... 8.538 g cm⁻³
Space-group type ... Pmma (51)
Energy of formation ... -0.0568 eV per atom
E ... -64.626 eV/cell

Lattice parameters (Å, degrees): 3.883 6.522 6.810 90.00 90.00 90.00
Atoms (fractional coordinates):
1 Ni 0.000 0.000 0.500
2 Ni 0.500 0.704 0.052
3 Ni 0.500 0.979 0.750
4 Ni 0.500 0.704 0.448
5 Ni 0.500 0.296 0.948
6 Ni 0.500 0.296 0.552
7 Ni 0.000 0.000 0.000
8 Ni 0.500 0.021 0.250
9 Pm 0.000 0.353 0.250
10 Pm 0.000 0.647 0.750
11 Cu 0.000 0.233 0.750
12 Cu 0.000 0.767 0.250


The following is a DFT calculation (GGA-PBE) of a relaxed structure of PmHo5Er2Th.

Values from the calculation:
Spin magnetization ... 0.00 μB/f.u.
Theoretical density ... 8.735 g cm⁻³
Space-group type ... Cmc2_1 (36)
Energy of formation ... 0.1648 eV per atom
E ... -85.404 eV/cell

Lattice parameters (Å, degrees): 5.698 10.978 9.668 90.00 90.00 105.04
Atoms (fractional coordinates):
1 Th 0.810 0.619 0.524
2 Th 0.190 0.381 0.024
3 Ho 0.529 0.058 0.243
4 Ho 0.733 0.466 0.834
5 Ho 0.014 0.027 0.016
6 Ho 0.306 0.611 0.715
7 Ho 0.394 0.788 0.038
8 Ho 0.471 0.942 0.743
9 Ho 0.986 0.973 0.516
10 Ho 0.694 0.389 0.215
11 Ho 0.267 0.534 0.334
12 Ho 0.606 0.212 0.538
13 Pm 0.596 0.191 0.924
14 Pm 0.404 0.809 0.424
15 Er 0.112 0.225 0.324
16 Er 0.133 0.266 0.707
17 Er 0.867 0.734 0.207
18 Er 0.888 0.775 0.824


The following is a DFT calculation (GGA-PBE) of a relaxed structure of FeMoOs3.

Values from the calculation:
Spin magnetization ... 0.89 μB/f.u.
Excess energy over the best structure of this formula in the dataset ... 936 meV per atom
Theoretical density ... 11.963 g cm⁻³
Space-group type ... Pm-3m (221)
Energy of formation ... 2.6876 eV per atom
E ... -39.545 eV/cell

Lattice parameters (Å, degrees): 4.646 4.646 4.646 90.00 90.00 90.00
Atoms (fractional coordinates):
1 Os 0.500 0.000 0.000
2 Os 0.000 0.000 0.500
3 Os 0.000 0.500 0.000
4 Mo 0.000 0.000 0.000
5 Fe 0.500 0.500 0.500


The following is a DFT calculation (GGA-PBE) of a relaxed structure of DyEr2Bi3.

Values from the calculation:
Spin magnetization ... 0.00 μB/f.u.
Theoretical density ... 9.965 g cm⁻³
Space-group type ... Immm (71)
Energy of formation ... -0.8279 eV per atom
E ... -30.338 eV/cell

Lattice parameters (Å, degrees): 4.453 6.294 7.715 114.07 106.77 90.00
Atoms (fractional coordinates):
1 Er 0.166 0.166 0.833
2 Er 0.834 0.834 0.167
3 Bi 0.832 0.332 0.164
4 Bi 0.168 0.668 0.836
5 Bi 0.500 0.000 0.500
6 Dy 0.500 0.500 0.500


The following is a DFT calculation (GGA-PBE) of a relaxed structure of RbAl2AgTe4.

Values from the calculation:
Spin magnetization ... 0.00 μB/f.u.
Theoretical density ... 4.284 g cm⁻³
Space-group type ... I222 (23)
Energy relative to the elements, uncorrected ... -0.23 eV/atom
E ... -25.679 eV/cell

Lattice parameters (Å, degrees): 6.944 7.382 7.382 73.39 61.94 61.94
Atoms (fractional coordinates):
1 Rb 0.000 0.000 0.000
2 Te 0.908 0.507 0.137
3 Te 0.449 0.137 0.507
4 Te 0.551 0.493 0.863
5 Te 0.092 0.863 0.493
6 Al 0.845 0.655 0.655
7 Al 0.155 0.345 0.345
8 Ag 0.500 0.500 0.500


The following is a DFT calculation (GGA-PBE) of a relaxed structure of TmCuNiRu.

Values from the calculation:
Spin magnetization ... 0.61 μB/f.u.
Theoretical density ... 10.587 g cm⁻³
Space-group type ... F-43m (216)
Energy of formation ... -0.0373 eV per atom
E ... -23.774 eV/cell

Lattice parameters (Å, degrees): 4.431 4.431 4.431 60.00 60.00 60.00
Atoms (fractional coordinates):
1 Ni 0.500 0.500 0.500
2 Cu 0.000 0.000 0.000
3 Ru 0.250 0.250 0.250
4 Tm 0.750 0.750 0.750


The following is a DFT calculation (GGA-PBE) of a relaxed structure of NdSm2Tl4.

Values from the calculation:
Spin magnetization ... 0.01 μB/f.u.
Excess energy over the best structure of this formula in the dataset ... 87 meV per atom
Theoretical density ... 9.558 g cm⁻³
Space-group type ... R-3m (166)
Energy of formation ... -0.1480 eV per atom
E ... -24.707 eV/cell

Lattice parameters (Å, degrees): 4.912 4.912 10.873 76.95 76.95 60.00
Atoms (fractional coordinates):
1 Sm 0.871 0.871 0.388
2 Sm 0.129 0.129 0.612
3 Tl 0.755 0.755 0.734
4 Tl 0.384 0.384 0.848
5 Tl 0.616 0.616 0.152
6 Tl 0.245 0.245 0.266
7 Nd 0.000 0.000 0.000


The following is a DFT calculation (GGA-PBE) of a relaxed structure of Ag5Hg.

Values from the calculation:
Spin magnetization ... 0.00 μB/f.u.
Excess energy over the best structure of this formula in the dataset ... 113 meV per atom
Theoretical density ... 9.719 g cm⁻³
Space-group type ... P6/mmm (191)
Energy of formation ... 0.1522 eV per atom
E ... -13.645 eV/cell

Lattice parameters (Å, degrees): 5.537 5.537 4.761 90.00 90.00 120.00
Atoms (fractional coordinates):
1 Ag 0.500 0.000 0.500
2 Ag 0.000 0.500 0.500
3 Ag 0.333 0.667 0.000
4 Ag 0.667 0.333 0.000
5 Ag 0.500 0.500 0.500
6 Hg 0.000 0.000 0.000


The following is a DFT calculation (GGA-PBE) of a relaxed structure of Hf2CuMo2.

Values from the calculation:
Spin magnetization ... 0.00 μB/f.u.
Excess energy over the best structure of this formula in the dataset ... 0 meV per atom
Theoretical density ... 11.024 g cm⁻³
Space-group type ... P4/mbm (127)
Energy of formation ... 0.4700 eV per atom
E ... -86.630 eV/cell

Lattice parameters (Å, degrees): 7.113 7.113 3.646 90.00 90.00 90.00
Atoms (fractional coordinates):
1 Hf 0.645 0.145 0.000
2 Hf 0.145 0.355 0.000
3 Hf 0.855 0.645 0.000
4 Hf 0.355 0.855 0.000
5 Mo 0.840 0.340 0.500
6 Mo 0.660 0.840 0.500
7 Mo 0.160 0.660 0.500
8 Mo 0.340 0.160 0.500
9 Cu 0.500 0.500 0.000
10 Cu 0.000 0.000 0.000


The following is a DFT calculation (GGA-PBE) of a relaxed structure of Be2WCl.

Values from the calculation:
Spin magnetization ... 0.00 μB/f.u.
Excess energy over the best structure of this formula in the dataset ... 287 meV per atom
Theoretical density ... 7.486 g cm⁻³
Space-group type ... Pm (6)
Energy relative to the elements, uncorrected ... 0.49 eV/atom
E ... -20.295 eV/cell

Lattice parameters (Å, degrees): 4.008 2.744 4.977 74.14 90.00 90.00
Atoms (fractional coordinates):
1 W 0.500 0.660 0.804
2 Be 0.000 0.063 0.999
3 Be 0.500 0.951 0.226
4 Cl 0.000 0.825 0.471


The following is a DFT calculation (GGA-PBE) of a relaxed structure of Co4RePd.

Values from the calculation:
Spin magnetization ... 2.09 μB/f.u.
Theoretical density ... 12.346 g cm⁻³
Space-group type ... F-43m (216)
Energy of formation ... 0.1542 eV per atom
E ... -45.139 eV/cell

Lattice parameters (Å, degrees): 4.649 4.649 4.649 60.00 60.00 60.00
Atoms (fractional coordinates):
1 Co 0.125 0.625 0.625
2 Co 0.625 0.625 0.625
3 Co 0.625 0.625 0.125
4 Co 0.625 0.125 0.625
5 Re 0.250 0.250 0.250
6 Pd 0.000 0.000 0.000


> Which formula does entry 4 have?

FeMoOs3


> Among the records above, which one has the highest E?

Ag5Hg


Please write out number 3 again, unchanged.
The following is a DFT calculation (GGA-PBE) of a relaxed structure of PmHo5Er2Th.

Values from the calculation:
Spin magnetization ... 0.00 μB/f.u.
Theoretical density ... 8.735 g cm⁻³
Space-group type ... Cmc2_1 (36)
Energy of formation ... 0.1648 eV per atom
E ... -85.404 eV/cell

Lattice parameters (Å, degrees): 5.698 10.978 9.668 90.00 90.00 105.04
Atoms (fractional coordinates):
1 Th 0.810 0.619 0.524
2 Th 0.190 0.381 0.024
3 Ho 0.529 0.058 0.243
4 Ho 0.733 0.466 0.834
5 Ho 0.014 0.027 0.016
6 Ho 0.306 0.611 0.715
7 Ho 0.394 0.788 0.038
8 Ho 0.471 0.942 0.743
9 Ho 0.986 0.973 0.516
10 Ho 0.694 0.389 0.215
11 Ho 0.267 0.534 0.334
12 Ho 0.606 0.212 0.538
13 Pm 0.596 0.191 0.924
14 Pm 0.404 0.809 0.424
15 Er 0.112 0.225 0.324
16 Er 0.133 0.266 0.707
17 Er 0.867 0.734 0.207
18 Er 0.888 0.775 0.824


> What is the formula in the seventh record?

TmCuNiRu